# YVBi2O8 (GGA+U, relaxed)
data_YVBi2O8
_symmetry_space_group_name_H-M 'P -3 m 1'
_symmetry_Int_Tables_number 164
_symmetry_space_group_name_Hall '-P 3 2"'
_cell_length_a 5.3164
_cell_length_b 5.3164
_cell_length_c 6.4105
_cell_angle_alpha 90.00
_cell_angle_beta 90.00
_cell_angle_gamma 120.00
loop_
_atom_site_label
_atom_site_type_symbol
_atom_site_fract_x
_atom_site_fract_y
_atom_site_fract_z
Y1 Y 0.0000 0.0000 0.0000
V1 V 0.0000 0.0000 0.5000
Bi1 Bi 0.3333 0.6667 0.3554
O1 O 0.1600 0.3201 0.6797
O2 O 0.3333 0.6667 0.0405
# total magnetization	0.001	μB per cell
# VASP energy	-6.376	eV/atom